VASP calculation (PBE) on a relaxed DySnTe2 crystal.

```
DySnTe2
1.0
4.957 0.000 0.000
0.000 4.077 0.000
0.000 -2.039 12.129
Sn Te Dy
2 4 2
Direct
0.250 0.188 0.375
0.750 0.812 0.625
0.250 0.319 0.637
0.250 0.056 0.112
0.750 0.681 0.363
0.750 0.944 0.888
0.250 0.447 0.895
0.750 0.553 0.105
```

Computed properties:
Space-group type: Cmcm
Total magnetic moment in μB per formula unit: 0.4
Final energy in eV per cell: -35.332
ΔE_f (raw) in eV per atom: -0.694
Calculated volume in Å³/atom: 30.64
Crystal system: orthorhombic